(1)
Below is a relaxed structure of Ti3BeTc, with properties calculated at the PBE level.

abc: 4.6745 4.6745 4.6745
angles: 90.00 90.00 90.00
Closest atoms and distances in Å follow each position.
Space group Pm-3m (No. 221)
Inequivalent atoms, fractional coordinates:
Ti 0.0000 0.0000 0.5000 [3 per cell]  2 Tc 2.34
Be 0.5000 0.5000 0.5000 [1 per cell]  12 Ti 3.31
Tc 0.0000 0.0000 0.0000 [1 per cell]  6 Ti 2.34

Values from the calculation:
The calculated total energy is -6.705 eV per atom. The value obtained for the distance to the lowest polymorph of the same formula is 1.643 eV per formula unit. As for the formation energy from the elements: 0.851 eV/atom. The theoretical density comes out at 4.1 Mg/m³.

(2)
Below is a relaxed structure of Mn2FeOs, with properties calculated at the PBE level.

abc: 2.9259 4.1268 8.1443
angles: 90.00 90.00 90.00
Closest atoms and distances in Å follow each position.
Space group Immm (No. 71)
Inequivalent atoms, fractional coordinates:
Mn 0.0000 0.0000 0.2443 [4 per cell]  2 Fe 2.47, 4 Mn 2.53, 2 Os 2.54
Fe 0.0000 0.5000 0.5000 [2 per cell]  4 Mn 2.47, 4 Os 2.53
Os 0.0000 0.5000 0.0000 [2 per cell]  4 Fe 2.53, 4 Mn 2.54

Values from the calculation:
The calculated total energy is -9.382 eV per atom. As for the formation energy from the elements: 0.126 eV/atom. The theoretical density comes out at 12.0 Mg/m³.

(3)
Below is a relaxed structure of NpAgSn, with properties calculated at the PBE level.

abc: 5.0782 5.0782 3.0938
angles: 90.00 90.00 120.00
Closest atoms and distances in Å follow each position.
Space group P-6m2 (No. 187)
Inequivalent atoms, fractional coordinates:
Np 0.0000 0.0000 0.0000 [1 per cell]  2 Np 3.09, 6 Sn 3.31, 6 Ag 3.31
Ag 0.6667 0.3333 0.5000 [1 per cell]  3 Sn 2.93, 2 Ag 3.09
Sn 0.3333 0.6667 0.5000 [1 per cell]  3 Ag 2.93, 2 Sn 3.09

Values from the calculation:
The calculated total energy is -6.571 eV per atom. As for the formation energy from the elements: 0.027 eV/atom. The theoretical density comes out at 11.1 Mg/m³.